{"formula": "MnCrCuF6", "functional": "PBE+U", "state": "relaxed", "e_tot_ev_per_atom": -5.64, "cell": [[5.429, 0.000, 0.000], [-2.715, 4.702, 0.000], [0.000, 0.000, 9.113]], "species": ["Mn", "Mn", "Cr", "Cr", "Cu", "Cu", "F", "F", "F", "F", "F", "F", "F", "F", "F", "F", "F", "F"], "frac_coords": [[0.333, 0.667, 0.250], [0.667, 0.333, 0.750], [0.333, 0.667, 0.750], [0.667, 0.333, 0.250], [0.000, 0.000, 0.000], [0.000, 0.000, 0.500], [0.024, 0.361, 0.633], [0.024, 0.663, 0.867], [0.337, 0.361, 0.867], [0.337, 0.976, 0.633], [0.361, 0.024, 0.133], [0.361, 0.337, 0.367], [0.639, 0.663, 0.633], [0.639, 0.976, 0.867], [0.663, 0.024, 0.367], [0.663, 0.639, 0.133], [0.976, 0.337, 0.133], [0.976, 0.639, 0.367]]}